The following is a DFT calculation (PBE with a Hubbard U) of a relaxed structure of MnCoO2. Values from VASP.

Values from the calculation:
- E: -0.5062 Ry/atom
- Space-group type: I-42d, No. 122

Quantum ESPRESSO input file:
```
&SYSTEM
  ibrav = 0, nat = 16, ntyp = 3
/
ATOMIC_SPECIES
Mn 54.94 Mn.upf
Co 58.93 Co.upf
O 16.00 O.upf
CELL_PARAMETERS angstrom
4.7492 0.0000 0.0000
0.0000 4.7492 0.0000
0.0000 0.0000 9.4619
ATOMIC_POSITIONS crystal
Mn 0.0000 0.0000 0.0000
Mn 0.0000 0.5000 0.2500
Mn 0.5000 0.0000 0.7500
Mn 0.5000 0.5000 0.5000
Co 0.0000 0.0000 0.5000
Co 0.0000 0.5000 0.7500
Co 0.5000 0.0000 0.2500
Co 0.5000 0.5000 0.0000
O 0.2338 0.2500 0.6250
O 0.2500 0.7338 0.8750
O 0.2500 0.7662 0.3750
O 0.2662 0.2500 0.1250
O 0.7338 0.7500 0.1250
O 0.7500 0.2338 0.3750
O 0.7500 0.2662 0.8750
O 0.7662 0.7500 0.6250
```